# PBE SrAlZn, optimized geometry
data_SrAlZn
_symmetry_space_group_name_H-M 'P 1'
_symmetry_Int_Tables_number 1
_cell_length_a 5.1823
_cell_length_b 5.1823
_cell_length_c 5.1823
_cell_angle_alpha 60.00
_cell_angle_beta 60.00
_cell_angle_gamma 60.00
loop_
_symmetry_equiv_pos_as_xyz
'x,y,z'
loop_
_atom_site_label
_atom_site_type_symbol
_atom_site_fract_x
_atom_site_fract_y
_atom_site_fract_z
_atom_site_occupancy
Zn1 Zn 0.0000 0.0000 0.0000 1
Al1 Al 0.5000 0.5000 0.5000 1
Sr1 Sr 0.7500 0.7500 0.7500 1
# **Volume**: 32.8 A^3/atom
# **Raw total energy**: -1.727 eV per atom
# **DOS(E_F)**: 4.466 states/eV/cell

---

# PBE TlCoSb2Pt, optimized geometry
data_TlCoSb2Pt
_symmetry_space_group_name_H-M 'P 1'
_symmetry_Int_Tables_number 1
_cell_length_a 5.5112
_cell_length_b 4.7520
_cell_length_c 5.5112
_cell_angle_alpha 90.00
_cell_angle_beta 90.00
_cell_angle_gamma 90.00
loop_
_symmetry_equiv_pos_as_xyz
'x,y,z'
loop_
_atom_site_label
_atom_site_type_symbol
_atom_site_fract_x
_atom_site_fract_y
_atom_site_fract_z
_atom_site_occupancy
Co1 Co 0.0000 0.5000 0.0000 1
Tl1 Tl 0.0000 0.0000 0.0000 1
Pt1 Pt 0.5000 0.5000 0.5000 1
Sb1 Sb 0.5000 0.0000 0.0000 1
Sb2 Sb 0.0000 0.0000 0.5000 1
# **Volume**: 28.9 A^3/atom
# **Uncorrected formation energy**: 7.5 eV/f.u.
# **DOS(E_F)**: 4.032 states/eV/cell

---

# PBE CdNiW2, optimized geometry
data_CdNiW2
_symmetry_space_group_name_H-M 'P 1'
_symmetry_Int_Tables_number 1
_cell_length_a 2.7023
_cell_length_b 3.9888
_cell_length_c 5.9291
_cell_angle_alpha 90.00
_cell_angle_beta 90.00
_cell_angle_gamma 90.00
loop_
_symmetry_equiv_pos_as_xyz
'x,y,z'
loop_
_atom_site_label
_atom_site_type_symbol
_atom_site_fract_x
_atom_site_fract_y
_atom_site_fract_z
_atom_site_occupancy
W1 W 0.0000 0.0000 0.9921 1
W2 W 0.5000 0.5000 0.2269 1
Cd1 Cd 0.0000 0.0000 0.5169 1
Ni1 Ni 0.5000 0.5000 0.7641 1
# **Volume**: 16.0 A^3/atom
# **Raw total energy**: -7.731 eV per atom
# **DOS(E_F)**: 2.566 states/eV/cell

---

# PBE Pm4Te5Pb, optimized geometry
data_Pm4Te5Pb
_symmetry_space_group_name_H-M 'P 1'
_symmetry_Int_Tables_number 1
_cell_length_a 4.5026
_cell_length_b 4.5026
_cell_length_c 18.6525
_cell_angle_alpha 83.07
_cell_angle_beta 83.07
_cell_angle_gamma 60.00
loop_
_symmetry_equiv_pos_as_xyz
'x,y,z'
loop_
_atom_site_label
_atom_site_type_symbol
_atom_site_fract_x
_atom_site_fract_y
_atom_site_fract_z
_atom_site_occupancy
Te1 Te 0.2024 0.2024 0.3928 1
Te2 Te 0.6019 0.6019 0.1944 1
Te3 Te 0.0000 0.0000 0.0000 1
Pm1 Pm 0.0952 0.0952 0.7145 1
Te4 Te 0.3981 0.3981 0.8056 1
Pm2 Pm 0.7005 0.7005 0.8985 1
Te5 Te 0.7976 0.7976 0.6072 1
Pm3 Pm 0.9048 0.9048 0.2855 1
Pb1 Pb 0.5000 0.5000 0.5000 1
Pm4 Pm 0.2995 0.2995 0.1015 1
# **Volume**: 32.4 A^3/atom
# **Uncorrected formation energy**: -11.8 eV/f.u.
# **DOS(E_F)**: 3.880 states/eV/cell

---

# PBE SmZn2SiNi4, optimized geometry
data_SmZn2SiNi4
_symmetry_space_group_name_H-M 'P 1'
_symmetry_Int_Tables_number 1
_cell_length_a 4.0423
_cell_length_b 4.0423
_cell_length_c 8.5591
_cell_angle_alpha 76.34
_cell_angle_beta 76.34
_cell_angle_gamma 60.00
loop_
_symmetry_equiv_pos_as_xyz
'x,y,z'
loop_
_atom_site_label
_atom_site_type_symbol
_atom_site_fract_x
_atom_site_fract_y
_atom_site_fract_z
_atom_site_occupancy
Zn1 Zn 0.7583 0.7583 0.7252 1
Si1 Si 0.5000 0.5000 0.5000 1
Zn2 Zn 0.2417 0.2417 0.2748 1
Ni1 Ni 0.8634 0.8634 0.4097 1
Ni2 Ni 0.4086 0.4086 0.7743 1
Ni3 Ni 0.1366 0.1366 0.5903 1
Ni4 Ni 0.5914 0.5914 0.2257 1
Sm1 Sm 0.0000 0.0000 0.0000 1
# **Volume**: 14.6 A^3/atom
# **Uncorrected formation energy**: -2.9 eV/f.u.
# **DOS(E_F)**: 5.321 states/eV/cell

---

# PBE Cs2U2AgSe6, optimized geometry
data_Cs2U2AgSe6
_symmetry_space_group_name_H-M 'P 1'
_symmetry_Int_Tables_number 1
_cell_length_a 7.2486
_cell_length_b 7.2486
_cell_length_c 8.8441
_cell_angle_alpha 97.01
_cell_angle_beta 97.01
_cell_angle_gamma 121.04
loop_
_symmetry_equiv_pos_as_xyz
'x,y,z'
loop_
_atom_site_label
_atom_site_type_symbol
_atom_site_fract_x
_atom_site_fract_y
_atom_site_fract_z
_atom_site_occupancy
Se1 Se 0.2941 0.2941 0.3190 1
Se2 Se 0.5880 0.9459 0.3171 1
Ag1 Ag 0.0000 0.0000 0.5000 1
U1 U 0.6651 0.3349 0.5000 1
Se3 Se 0.4120 0.0541 0.6829 1
Se4 Se 0.9459 0.5880 0.3171 1
Cs1 Cs 0.1579 0.8421 0.0000 1
Se5 Se 0.7059 0.7059 0.6810 1
Cs2 Cs 0.8421 0.1579 0.0000 1
U2 U 0.3349 0.6651 0.5000 1
Se6 Se 0.0541 0.4120 0.6829 1
# **Volume**: 35.1 A^3/atom
# **Uncorrected formation energy**: -11.7 eV/f.u.
# **DOS(E_F)**: 10.145 states/eV/cell

---

# PBE NaLiPmSb, optimized geometry
data_NaLiPmSb
_symmetry_space_group_name_H-M 'P 1'
_symmetry_Int_Tables_number 1
_cell_length_a 5.2737
_cell_length_b 5.2737
_cell_length_c 5.2737
_cell_angle_alpha 60.00
_cell_angle_beta 60.00
_cell_angle_gamma 60.00
loop_
_symmetry_equiv_pos_as_xyz
'x,y,z'
loop_
_atom_site_label
_atom_site_type_symbol
_atom_site_fract_x
_atom_site_fract_y
_atom_site_fract_z
_atom_site_occupancy
Pm1 Pm 0.2500 0.2500 0.2500 1
Na1 Na 0.7500 0.7500 0.7500 1
Li1 Li 0.5000 0.5000 0.5000 1
Sb1 Sb 0.0000 0.0000 0.0000 1
# **Volume**: 25.9 A^3/atom
# **Uncorrected formation energy**: -1.4 eV/f.u.
# **DOS(E_F)**: 1.981 states/eV/cell

---

# PBE BaV2I2, optimized geometry
data_BaV2I2
_symmetry_space_group_name_H-M 'P 1'
_symmetry_Int_Tables_number 1
_cell_length_a 8.0800
_cell_length_b 8.0800
_cell_length_c 5.0237
_cell_angle_alpha 90.00
_cell_angle_beta 90.00
_cell_angle_gamma 90.00
loop_
_symmetry_equiv_pos_as_xyz
'x,y,z'
loop_
_atom_site_label
_atom_site_type_symbol
_atom_site_fract_x
_atom_site_fract_y
_atom_site_fract_z
_atom_site_occupancy
V1 V 0.0787 0.4213 0.0000 1
I1 I 0.6726 0.1726 0.5000 1
Ba1 Ba 0.0000 0.0000 0.0000 1
I2 I 0.3274 0.8274 0.5000 1
V2 V 0.9213 0.5787 0.0000 1
V3 V 0.4213 0.9213 0.0000 1
Ba2 Ba 0.5000 0.5000 0.0000 1
I3 I 0.8274 0.6726 0.5000 1
I4 I 0.1726 0.3274 0.5000 1
V4 V 0.5787 0.0787 0.0000 1
# **Volume**: 32.8 A^3/atom
# **Uncorrected formation energy**: 0.7 eV/f.u.
# **DOS(E_F)**: 6.475 states/eV/cell

---

# PBE PAuC2, optimized geometry
data_PAuC2
_symmetry_space_group_name_H-M 'P 1'
_symmetry_Int_Tables_number 1
_cell_length_a 3.9281
_cell_length_b 4.0184
_cell_length_c 4.7907
_cell_angle_alpha 89.99
_cell_angle_beta 65.88
_cell_angle_gamma 89.95
loop_
_symmetry_equiv_pos_as_xyz
'x,y,z'
loop_
_atom_site_label
_atom_site_type_symbol
_atom_site_fract_x
_atom_site_fract_y
_atom_site_fract_z
_atom_site_occupancy
C1 C 0.9953 0.7196 0.2644 1
C2 C 0.9951 0.0403 0.2643 1
Au1 Au 0.7830 0.3803 0.6884 1
P1 P 0.1228 0.3799 0.0099 1
# **Volume**: 17.3 A^3/atom
# **Raw total energy**: -6.015 eV per atom
# **DOS(E_F)**: 1.658 states/eV/cell

---

# PBE Pr6AlHg, optimized geometry
data_Pr6AlHg
_symmetry_space_group_name_H-M 'P 1'
_symmetry_Int_Tables_number 1
_cell_length_a 4.9577
_cell_length_b 4.9577
_cell_length_c 9.9209
_cell_angle_alpha 90.00
_cell_angle_beta 90.00
_cell_angle_gamma 90.00
loop_
_symmetry_equiv_pos_as_xyz
'x,y,z'
loop_
_atom_site_label
_atom_site_type_symbol
_atom_site_fract_x
_atom_site_fract_y
_atom_site_fract_z
_atom_site_occupancy
Pr1 Pr 0.5000 0.0000 0.2561 1
Hg1 Hg 0.0000 0.0000 0.0000 1
Pr2 Pr 0.0000 0.5000 0.2561 1
Pr3 Pr 0.5000 0.5000 0.0000 1
Pr4 Pr 0.0000 0.5000 0.7439 1
Pr5 Pr 0.5000 0.5000 0.5000 1
Al1 Al 0.0000 0.0000 0.5000 1
Pr6 Pr 0.5000 0.0000 0.7439 1
# **Volume**: 30.5 A^3/atom
# **Raw total energy**: -4.265 eV per atom
# **DOS(E_F)**: 10.122 states/eV/cell

---

# PBE Al2AgCl, optimized geometry
data_Al2AgCl
_symmetry_space_group_name_H-M 'P 1'
_symmetry_Int_Tables_number 1
_cell_length_a 5.0393
_cell_length_b 2.8623
_cell_length_c 5.0397
_cell_angle_alpha 90.04
_cell_angle_beta 90.00
_cell_angle_gamma 90.00
loop_
_symmetry_equiv_pos_as_xyz
'x,y,z'
loop_
_atom_site_label
_atom_site_type_symbol
_atom_site_fract_x
_atom_site_fract_y
_atom_site_fract_z
_atom_site_occupancy
Ag1 Ag 0.5000 0.7500 0.8749 1
Al1 Al 0.5000 0.2508 0.3747 1
Al2 Al 0.0000 0.2501 0.8752 1
Cl1 Cl 0.0000 0.2490 0.3752 1
# **Volume**: 18.2 A^3/atom
# **Uncorrected formation energy**: -0.9 eV/f.u.
# **DOS(E_F)**: 0.609 states/eV/cell

---

# PBE ErCrGa6, optimized geometry
data_ErCrGa6
_symmetry_space_group_name_H-M 'P 1'
_symmetry_Int_Tables_number 1
_cell_length_a 5.7333
_cell_length_b 5.7333
_cell_length_c 5.7323
_cell_angle_alpha 72.89
_cell_angle_beta 72.89
_cell_angle_gamma 107.12
loop_
_symmetry_equiv_pos_as_xyz
'x,y,z'
loop_
_atom_site_label
_atom_site_type_symbol
_atom_site_fract_x
_atom_site_fract_y
_atom_site_fract_z
_atom_site_occupancy
Ga1 Ga 0.8480 0.2810 0.7189 1
Ga2 Ga 0.7190 0.1520 0.2811 1
Ga3 Ga 0.2810 0.8480 0.7189 1
Ga4 Ga 0.7191 0.7191 0.8477 1
Ga5 Ga 0.1520 0.7190 0.2811 1
Ga6 Ga 0.2809 0.2809 0.1523 1
Cr1 Cr 0.0000 0.0000 0.0000 1
Er1 Er 0.5000 0.5000 0.5000 1
# **Volume**: 19.6 A^3/atom
# **Raw total energy**: -4.128 eV per atom
# **DOS(E_F)**: 5.236 states/eV/cell

---

# PBE LaCd2TcSe, optimized geometry
data_LaCd2TcSe
_symmetry_space_group_name_H-M 'P 1'
_symmetry_Int_Tables_number 1
_cell_length_a 6.0771
_cell_length_b 4.8333
_cell_length_c 6.0771
_cell_angle_alpha 90.00
_cell_angle_beta 90.00
_cell_angle_gamma 90.00
loop_
_symmetry_equiv_pos_as_xyz
'x,y,z'
loop_
_atom_site_label
_atom_site_type_symbol
_atom_site_fract_x
_atom_site_fract_y
_atom_site_fract_z
_atom_site_occupancy
Tc1 Tc 0.0000 0.5000 0.0000 1
Se1 Se 0.5000 0.5000 0.5000 1
Cd1 Cd 0.5000 0.0000 0.0000 1
Cd2 Cd 0.0000 0.0000 0.5000 1
La1 La 0.0000 0.0000 0.0000 1
# **Volume**: 35.7 A^3/atom
# **Uncorrected formation energy**: 5.9 eV/f.u.
# **DOS(E_F)**: 3.153 states/eV/cell

---

# PBE DyTlIn, optimized geometry
data_DyTlIn
_symmetry_space_group_name_H-M 'P 1'
_symmetry_Int_Tables_number 1
_cell_length_a 5.4431
_cell_length_b 6.4662
_cell_length_c 5.2869
_cell_angle_alpha 90.00
_cell_angle_beta 120.98
_cell_angle_gamma 90.00
loop_
_symmetry_equiv_pos_as_xyz
'x,y,z'
loop_
_atom_site_label
_atom_site_type_symbol
_atom_site_fract_x
_atom_site_fract_y
_atom_site_fract_z
_atom_site_occupancy
Tl1 Tl 0.3286 0.7500 0.1571 1
Dy1 Dy 0.6665 0.7500 0.8331 1
In1 In 0.0000 0.0000 0.5000 1
Tl2 Tl 0.6714 0.2500 0.8429 1
In2 In 0.0000 0.5000 0.5000 1
Dy2 Dy 0.3335 0.2500 0.1669 1
# **Volume**: 26.6 A^3/atom
# **Raw total energy**: -3.497 eV per atom
# **DOS(E_F)**: 2.386 states/eV/cell

---

# PBE Ac6TeAs2Pb3, optimized geometry
data_Ac6TeAs2Pb3
_symmetry_space_group_name_H-M 'P 1'
_symmetry_Int_Tables_number 1
_cell_length_a 4.6248
_cell_length_b 9.7337
_cell_length_c 10.7702
_cell_angle_alpha 106.96
_cell_angle_beta 102.40
_cell_angle_gamma 90.00
loop_
_symmetry_equiv_pos_as_xyz
'x,y,z'
loop_
_atom_site_label
_atom_site_type_symbol
_atom_site_fract_x
_atom_site_fract_y
_atom_site_fract_z
_atom_site_occupancy
Pb1 Pb 0.5000 0.5000 0.0000 1
As1 As 0.1674 0.3314 0.3349 1
As2 As 0.8326 0.6686 0.6651 1
Ac1 Ac 0.3318 0.8997 0.6635 1
Pb2 Pb 0.1622 0.8279 0.3245 1
Ac2 Ac 0.3276 0.4333 0.6551 1
Ac3 Ac 0.6724 0.5667 0.3449 1
Ac4 Ac 0.0084 0.2556 0.0169 1
Ac5 Ac 0.9916 0.7444 0.9831 1
Te1 Te 0.5000 0.0000 0.0000 1
Ac6 Ac 0.6682 0.1003 0.3365 1
Pb3 Pb 0.8378 0.1721 0.6755 1
# **Volume**: 37.7 A^3/atom
# **Uncorrected formation energy**: -11.6 eV/f.u.
# **DOS(E_F)**: 6.957 states/eV/cell

---

# PBE Nb6P2N, optimized geometry
data_Nb6P2N
_symmetry_space_group_name_H-M 'P 1'
_symmetry_Int_Tables_number 1
_cell_length_a 5.5180
_cell_length_b 6.3527
_cell_length_c 7.9517
_cell_angle_alpha 90.00
_cell_angle_beta 90.50
_cell_angle_gamma 90.00
loop_
_symmetry_equiv_pos_as_xyz
'x,y,z'
loop_
_atom_site_label
_atom_site_type_symbol
_atom_site_fract_x
_atom_site_fract_y
_atom_site_fract_z
_atom_site_occupancy
Nb1 Nb 0.1415 0.0272 0.7569 1
Nb2 Nb 0.3585 0.5272 0.7431 1
Nb3 Nb 0.8493 0.6919 0.5559 1
Nb4 Nb 0.1625 0.3228 0.0516 1
Nb5 Nb 0.3375 0.8228 0.4484 1
Nb6 Nb 0.3493 0.8081 0.0559 1
Nb7 Nb 0.8375 0.6772 0.9484 1
P1 P 0.5621 0.8851 0.7501 1
Nb8 Nb 0.6507 0.1919 0.9441 1
Nb9 Nb 0.8585 0.9728 0.2431 1
N1 N 0.5000 0.5000 0.0000 1
Nb10 Nb 0.1507 0.3081 0.4441 1
P2 P 0.0621 0.6149 0.2501 1
P3 P 0.4379 0.1149 0.2499 1
Nb11 Nb 0.6415 0.4728 0.2569 1
N2 N 0.0000 0.0000 0.5000 1
Nb12 Nb 0.6625 0.1772 0.5516 1
P4 P 0.9379 0.3851 0.7499 1
# **Volume**: 15.5 A^3/atom
# **Uncorrected formation energy**: -6.8 eV/f.u.
# **DOS(E_F)**: 9.713 states/eV/cell

---

# PBE Sn4Os2Cl, optimized geometry
data_Sn4Os2Cl
_symmetry_space_group_name_H-M 'P 1'
_symmetry_Int_Tables_number 1
_cell_length_a 5.2241
_cell_length_b 5.2241
_cell_length_c 7.8457
_cell_angle_alpha 70.55
_cell_angle_beta 70.55
_cell_angle_gamma 90.00
loop_
_symmetry_equiv_pos_as_xyz
'x,y,z'
loop_
_atom_site_label
_atom_site_type_symbol
_atom_site_fract_x
_atom_site_fract_y
_atom_site_fract_z
_atom_site_occupancy
Sn1 Sn 0.2276 0.2276 0.5448 1
Sn2 Sn 0.0000 0.5000 0.0000 1
Os1 Os 0.5857 0.5857 0.8286 1
Cl1 Cl 0.0000 0.0000 0.0000 1
Os2 Os 0.4143 0.4143 0.1714 1
Sn3 Sn 0.5000 0.0000 0.0000 1
Sn4 Sn 0.7724 0.7724 0.4552 1
# **Volume**: 27.0 A^3/atom
# **Uncorrected formation energy**: 5.3 eV/f.u.
# **DOS(E_F)**: 4.632 states/eV/cell

---

# PBE TaWBr, optimized geometry
data_TaWBr
_symmetry_space_group_name_H-M 'P 1'
_symmetry_Int_Tables_number 1
_cell_length_a 4.4328
_cell_length_b 4.4328
_cell_length_c 4.4328
_cell_angle_alpha 60.00
_cell_angle_beta 60.00
_cell_angle_gamma 60.00
loop_
_symmetry_equiv_pos_as_xyz
'x,y,z'
loop_
_atom_site_label
_atom_site_type_symbol
_atom_site_fract_x
_atom_site_fract_y
_atom_site_fract_z
_atom_site_occupancy
Ta1 Ta 0.5000 0.5000 0.5000 1
Br1 Br 0.0000 0.0000 0.0000 1
W1 W 0.2500 0.2500 0.2500 1
# **Volume**: 20.5 A^3/atom
# **Uncorrected formation energy**: 4.2 eV/f.u.
# **DOS(E_F)**: 2.954 states/eV/cell

---

# PBE FeHCN2, optimized geometry
data_FeHCN2
_symmetry_space_group_name_H-M 'P 1'
_symmetry_Int_Tables_number 1
_cell_length_a 2.7110
_cell_length_b 6.5682
_cell_length_c 2.7110
_cell_angle_alpha 90.00
_cell_angle_beta 90.00
_cell_angle_gamma 90.00
loop_
_symmetry_equiv_pos_as_xyz
'x,y,z'
loop_
_atom_site_label
_atom_site_type_symbol
_atom_site_fract_x
_atom_site_fract_y
_atom_site_fract_z
_atom_site_occupancy
H1 H 0.0000 0.0000 0.0000 1
N1 N 0.0000 0.0000 0.5000 1
N2 N 0.5000 0.0000 0.0000 1
Fe1 Fe 0.0000 0.5000 0.0000 1
C1 C 0.5000 0.5000 0.5000 1
# **Volume**: 9.7 A^3/atom
# **Raw total energy**: -5.521 eV per atom
# **DOS(E_F)**: 3.477 states/eV/cell

---

# PBE Th2CoGe4Ir3, optimized geometry
data_Th2CoGe4Ir3
_symmetry_space_group_name_H-M 'P 1'
_symmetry_Int_Tables_number 1
_cell_length_a 4.2373
_cell_length_b 4.2373
_cell_length_c 10.2081
_cell_angle_alpha 90.00
_cell_angle_beta 90.00
_cell_angle_gamma 90.00
loop_
_symmetry_equiv_pos_as_xyz
'x,y,z'
loop_
_atom_site_label
_atom_site_type_symbol
_atom_site_fract_x
_atom_site_fract_y
_atom_site_fract_z
_atom_site_occupancy
Th1 Th 0.5000 0.0000 0.2506 1
Ge1 Ge 0.5000 0.5000 0.0000 1
Ge2 Ge 0.5000 0.0000 0.6264 1
Ir1 Ir 0.5000 0.0000 0.8674 1
Ge3 Ge 0.0000 0.5000 0.3736 1
Ge4 Ge 0.0000 0.0000 0.0000 1
Th2 Th 0.0000 0.5000 0.7494 1
Ir2 Ir 0.0000 0.5000 0.1326 1
Co1 Co 0.5000 0.5000 0.5000 1
Ir3 Ir 0.0000 0.0000 0.5000 1
# **Volume**: 18.3 A^3/atom
# **Raw total energy**: -7.447 eV per atom
# **DOS(E_F)**: 6.284 states/eV/cell